Record 1
## LaZr2Zn (PBE)

Data for a relaxed structure of LaZr2Zn.

```
LaZr2Zn
1.0
-2.266 2.266 4.550
2.266 -2.266 4.550
2.266 2.266 -4.550
La Zr Zn
1 2 1
direct
0.000 0.000 0.000 La
0.250 0.750 0.500 Zr
0.500 0.500 0.000 Zr
0.750 0.250 0.500 Zn
```

Output
Mass density = 6.87 g cm⁻³
Total magnetic moment = 0.000 μB/atom
Energy = -23.12 eV per formula unit
Formation energy = 44 meV/atom

---

Record 2
## ZrCuAs2 (PBE)

Data for a relaxed structure of ZrCuAs2.

```
ZrCuAs2
1.0
1.597 0.922 8.097
-1.597 0.922 8.097
0.000 -1.844 8.097
Zr Cu As
1 1 2
direct
0.000 0.000 0.000 Zr
0.500 0.500 0.500 Cu
0.242 0.242 0.242 As
0.758 0.758 0.758 As
```

Output
Mass density = 7.07 g cm⁻³
Total magnetic moment = 0.000 μB/atom
Energy = -22.54 eV per formula unit
Formation energy = -150 meV/atom

---

Record 3
## Pm2PrEr8 (PBE)

Data for a relaxed structure of Pm2PrEr8.

```
Pm2PrEr8
1.0
9.052 -2.514 0.000
9.052 2.514 0.000
-2.085 0.000 7.661
Pm Pr Er
2 1 8
direct
0.228 0.228 0.137 Pm
0.772 0.772 0.863 Pm
0.500 0.500 0.500 Pr
0.045 0.045 0.226 Er
0.137 0.137 0.681 Er
0.318 0.318 0.592 Er
0.410 0.410 0.044 Er
0.590 0.590 0.956 Er
0.682 0.682 0.408 Er
0.863 0.863 0.319 Er
0.955 0.955 0.774 Er
```

Output
Mass density = 8.43 g cm⁻³
Total magnetic moment = 0.000 μB/atom
Energy = -50.52 eV per formula unit
Formation energy = 24 meV/atom

---

Record 4
## NaThZn10 (PBE)

Data for a relaxed structure of NaThZn10.

```
NaThZn10
1.0
4.270 0.000 0.000
0.000 5.315 0.000
0.000 0.000 9.392
Na Th Zn
1 1 10
direct
0.000 0.000 0.000 Na
0.000 0.500 0.500 Th
0.000 0.000 0.314 Zn
0.000 0.000 0.686 Zn
0.000 0.500 0.156 Zn
0.000 0.500 0.844 Zn
0.500 0.000 0.500 Zn
0.500 0.259 0.262 Zn
0.500 0.259 0.738 Zn
0.500 0.500 0.000 Zn
0.500 0.741 0.262 Zn
0.500 0.741 0.738 Zn
```

Output
Mass density = 7.08 g cm⁻³
Total magnetic moment = 0.000 μB/atom
Energy = -23.18 eV per formula unit
Formation energy = -142 meV/atom

---

Record 5
## AcAgSe2O8 (PBE)

Data for a relaxed structure of AcAgSe2O8.

```
AcAgSe2O8
1.0
-3.788 3.788 3.379
3.788 -3.788 3.379
3.788 3.788 -3.379
Ac Ag Se O
1 1 2 8
direct
0.000 0.000 0.000 Ac
0.750 0.250 0.500 Ag
0.250 0.750 0.500 Se
0.500 0.500 0.000 Se
0.101 0.425 0.324 O
0.101 0.777 0.676 O
0.170 0.343 0.827 O
0.223 0.899 0.324 O
0.517 0.343 0.173 O
0.575 0.899 0.676 O
0.657 0.483 0.827 O
0.657 0.830 0.173 O
```

Output
Energy relative to the elements, uncorrected = -1.257 eV/atom
Mass density = 5.32 g cm⁻³
Total magnetic moment = 0.000 μB/atom
Energy = -68.67 eV per formula unit

---

Record 6
## CaReNi4 (PBE)

Data for a relaxed structure of CaReNi4.

```
CaReNi4
1.0
0.000 3.454 3.454
3.454 0.000 3.454
3.454 3.454 0.000
Ca Re Ni
1 1 4
direct
0.000 0.000 0.000 Ca
0.250 0.250 0.250 Re
0.127 0.624 0.624 Ni
0.624 0.127 0.624 Ni
0.624 0.624 0.127 Ni
0.624 0.624 0.624 Ni
```

Output
Mass density = 9.29 g cm⁻³
Total magnetic moment = 0.724 μB/atom
Energy = -36.15 eV per formula unit
Formation energy = 238 meV/atom

---

Record 7
## La2Ga3IrPt4 (PBE)

Data for a relaxed structure of La2Ga3IrPt4.

```
La2Ga3IrPt4
1.0
4.185 0.000 0.000
0.000 4.185 0.000
0.000 0.000 11.221
La Ga Ir Pt
2 3 1 4
direct
0.000 0.500 0.240 La
0.500 0.000 0.760 La
0.000 0.000 0.000 Ga
0.000 0.500 0.630 Ga
0.500 0.000 0.370 Ga
0.500 0.500 0.000 Ir
0.000 0.000 0.500 Pt
0.000 0.500 0.852 Pt
0.500 0.000 0.148 Pt
0.500 0.500 0.500 Pt
```

Output
Mass density = 12.33 g cm⁻³
Total magnetic moment = 0.000 μB/atom
Energy = -60.38 eV per formula unit
Formation energy = -842 meV/atom

---

Record 8
## AsSeBr2Cl (PBE)

Data for a relaxed structure of AsSeBr2Cl.

```
AsSeBr2Cl
1.0
5.148 0.000 0.000
0.000 5.148 0.000
0.000 0.000 5.405
As Se Br Cl
1 1 2 1
direct
0.000 0.000 0.000 As
0.500 0.500 0.000 Se
0.000 0.500 0.500 Br
0.500 0.000 0.500 Br
0.500 0.500 0.500 Cl
```

Output
Energy relative to the elements, uncorrected = 0.886 eV/atom
Mass density = 4.05 g cm⁻³
Total magnetic moment = 0.198 μB/atom
Energy = -8.90 eV per formula unit

---

Record 9
## Ga4Rh (PBE)

Data for a relaxed structure of Ga4Rh.

```
Ga4Rh
1.0
6.483 -6.002 0.000
6.483 6.002 0.000
-5.895 0.000 6.587
Ga Rh
24 6
direct
0.000 0.500 0.500 Ga
0.011 0.450 0.839 Ga
0.063 0.869 0.053 Ga
0.131 0.937 0.447 Ga
0.147 0.853 0.750 Ga
0.224 0.297 0.390 Ga
0.287 0.641 0.905 Ga
0.297 0.224 0.890 Ga
0.357 0.456 0.273 Ga
0.359 0.713 0.595 Ga
0.450 0.011 0.339 Ga
0.456 0.357 0.773 Ga
0.500 0.000 0.000 Ga
0.544 0.643 0.227 Ga
0.550 0.989 0.661 Ga
0.641 0.287 0.405 Ga
0.643 0.544 0.727 Ga
0.703 0.776 0.110 Ga
0.713 0.359 0.095 Ga
0.776 0.703 0.610 Ga
0.853 0.147 0.250 Ga
0.869 0.063 0.553 Ga
0.937 0.131 0.947 Ga
0.989 0.550 0.161 Ga
0.123 0.271 0.599 Rh
0.271 0.123 0.099 Rh
0.272 0.728 0.250 Rh
0.728 0.272 0.750 Rh
0.729 0.877 0.901 Rh
0.877 0.729 0.401 Rh
```

Output
Mass density = 7.42 g cm⁻³
Total magnetic moment = 0.000 μB/atom
Energy = -21.08 eV per formula unit
Formation energy = -324 meV/atom

---

Record 10
## CsCdF2 (PBE)

Data for a relaxed structure of CsCdF2.

```
CsCdF2
1.0
1.973 1.139 7.661
-1.973 1.139 7.661
0.000 -2.279 7.661
Cs Cd F
1 1 2
direct
0.000 0.000 0.000 Cs
0.500 0.500 0.500 Cd
0.120 0.120 0.120 F
0.880 0.880 0.880 F
```

Output
Energy relative to the elements, uncorrected = -1.649 eV/atom
Mass density = 4.55 g cm⁻³
Total magnetic moment = 0.000 μB/atom
Energy = -12.11 eV per formula unit

---

Record 11
## TbPr2Dy4Ho (PBE)

Data for a relaxed structure of TbPr2Dy4Ho.

```
TbPr2Dy4Ho
1.0
5.069 0.000 0.000
0.000 5.092 0.000
-0.001 0.000 10.096
Tb Pr Dy Ho
1 2 4 1
direct
0.000 0.000 0.000 Tb
0.000 0.000 0.500 Pr
0.500 0.500 0.000 Pr
0.001 0.500 0.251 Dy
0.499 0.000 0.750 Dy
0.501 0.000 0.250 Dy
0.999 0.500 0.749 Dy
0.500 0.500 0.500 Ho
```

Output
Mass density = 8.00 g cm⁻³
Total magnetic moment = 0.000 μB/atom
Energy = -37.01 eV per formula unit
Formation energy = 20 meV/atom

---

Record 12
## CrRuPt2 (PBE)

Data for a relaxed structure of CrRuPt2.

```
CrRuPt2
1.0
0.000 3.114 3.114
3.114 0.000 3.114
3.114 3.114 0.000
Cr Ru Pt
1 1 2
direct
0.000 0.000 0.000 Cr
0.250 0.250 0.250 Ru
0.500 0.500 0.500 Pt
0.750 0.750 0.750 Pt
```

Output
Mass density = 14.94 g cm⁻³
Total magnetic moment = 0.290 μB/atom
Energy = -30.33 eV per formula unit
Formation energy = 162 meV/atom

---

Record 13
## BaZnCd2Ir (PBE)

Data for a relaxed structure of BaZnCd2Ir.

```
BaZnCd2Ir
1.0
5.274 0.000 0.000
0.000 5.274 0.000
0.000 0.000 4.939
Ba Zn Cd Ir
1 1 2 1
direct
0.000 0.000 0.000 Ba
0.500 0.500 0.000 Zn
0.000 0.500 0.500 Cd
0.500 0.000 0.500 Cd
0.500 0.500 0.500 Ir
```

Output
Mass density = 7.49 g cm⁻³
Total magnetic moment = 0.000 μB/atom
Energy = -14.89 eV per formula unit
Formation energy = -201 meV/atom

---

Record 14
## AuSeI3 (PBE)

Data for a relaxed structure of AuSeI3.

```
AuSeI3
1.0
9.896 0.000 0.000
0.000 6.067 0.000
-3.491 0.000 17.374
Au Se I
4 4 12
direct
0.059 0.238 0.089 Au
0.059 0.262 0.589 Au
0.941 0.738 0.411 Au
0.941 0.762 0.911 Au
0.224 0.524 0.291 Se
0.224 0.976 0.791 Se
0.776 0.024 0.209 Se
0.776 0.476 0.709 Se
0.140 0.047 0.927 I
0.140 0.453 0.427 I
0.251 0.531 0.124 I
0.251 0.969 0.624 I
0.449 0.736 0.337 I
0.449 0.764 0.837 I
0.551 0.236 0.163 I
0.551 0.264 0.663 I
0.749 0.031 0.376 I
0.749 0.469 0.876 I
0.860 0.547 0.573 I
0.860 0.953 0.073 I
```

Output
Energy relative to the elements, uncorrected = 0.045 eV/atom
Mass density = 4.18 g cm⁻³
Total magnetic moment = 0.000 μB/atom
Energy = -11.19 eV per formula unit

---

Record 15
## LiDyMg3 (PBE)

Data for a relaxed structure of LiDyMg3.

```
LiDyMg3
1.0
4.898 0.000 0.000
0.000 4.898 0.000
0.000 0.000 4.898
Li Dy Mg
1 1 3
direct
0.000 0.000 0.000 Li
0.500 0.500 0.500 Dy
0.000 0.000 0.500 Mg
0.000 0.500 0.000 Mg
0.500 0.000 0.000 Mg
```

Output
Mass density = 3.43 g cm⁻³
Total magnetic moment = 0.000 μB/atom
Energy = -10.64 eV per formula unit
Formation energy = 132 meV/atom

---

Record 16
## La2TlInOs (PBE)

Data for a relaxed structure of La2TlInOs.

```
La2TlInOs
1.0
5.498 0.000 0.000
0.000 5.498 0.000
0.000 0.000 5.282
La Tl In Os
2 1 1 1
direct
0.000 0.500 0.000 La
0.500 0.000 0.000 La
0.000 0.000 0.500 Tl
0.500 0.500 0.500 In
0.500 0.500 0.000 Os
```

Output
Mass density = 8.19 g cm⁻³
Total magnetic moment = 0.000 μB/atom
Energy = -27.18 eV per formula unit
Formation energy = -198 meV/atom

---

Record 17
## Ac6ZnRu2Cl3 (PBE)

Data for a relaxed structure of Ac6ZnRu2Cl3.

```
Ac6ZnRu2Cl3
1.0
3.788 -6.569 0.000
3.788 6.569 0.000
-2.483 0.000 7.994
Ac Zn Ru Cl
6 1 2 3
direct
0.074 0.432 0.794 Ac
0.209 0.209 0.206 Ac
0.432 0.074 0.794 Ac
0.568 0.926 0.206 Ac
0.791 0.791 0.794 Ac
0.926 0.568 0.206 Ac
0.500 0.500 0.000 Zn
0.166 0.834 0.000 Ru
0.834 0.166 0.000 Ru
0.000 0.000 0.500 Cl
0.326 0.674 0.500 Cl
0.674 0.326 0.500 Cl
```

Output
Energy relative to the elements, uncorrected = -0.939 eV/atom
Mass density = 7.24 g cm⁻³
Total magnetic moment = 0.000 μB/atom
Energy = -61.28 eV per formula unit

---

Record 18
## CsLiOs (PBE)

Data for a relaxed structure of CsLiOs.

```
CsLiOs
1.0
4.281 0.000 0.000
2.140 3.708 0.000
1.839 0.218 12.234
Cs Li Os
2 2 2
direct
0.216 0.316 0.296 Cs
0.784 0.684 0.704 Cs
0.040 0.006 0.900 Li
0.960 0.994 0.100 Li
0.339 0.334 0.987 Os
0.661 0.666 0.013 Os
```

Output
Mass density = 5.64 g cm⁻³
Total magnetic moment = 0.053 μB/atom
Energy = -12.98 eV per formula unit
Formation energy = 339 meV/atom

---

Record 19
## AlIn3 (PBE)

Data for a relaxed structure of AlIn3.

```
AlIn3
1.0
5.107 2.948 1.112
-5.107 2.948 1.112
0.000 -5.897 1.112
Al In
1 3
direct
0.000 0.000 0.000 Al
0.000 0.500 0.500 In
0.500 0.000 0.500 In
0.500 0.500 0.000 In
```

Output
Mass density = 6.14 g cm⁻³
Total magnetic moment = 0.000 μB/atom
Energy = -11.41 eV per formula unit
Formation energy = 137 meV/atom

---

Record 20
## AsPtCl (PBE)

Data for a relaxed structure of AsPtCl.

```
AsPtCl
1.0
7.020 0.000 0.000
0.000 5.091 0.000
-0.110 0.000 6.974
As Pt Cl
4 4 4
direct
0.056 0.210 0.085 As
0.056 0.290 0.585 As
0.944 0.710 0.415 As
0.944 0.790 0.915 As
0.226 0.008 0.356 Pt
0.226 0.492 0.856 Pt
0.774 0.508 0.144 Pt
0.774 0.992 0.644 Pt
0.405 0.723 0.127 Cl
0.405 0.777 0.627 Cl
0.595 0.223 0.373 Cl
0.595 0.277 0.873 Cl
```

Output
Energy relative to the elements, uncorrected = -0.376 eV/atom
Mass density = 8.14 g cm⁻³
Total magnetic moment = 0.000 μB/atom
Energy = -13.66 eV per formula unit